! La2Er3Ge3 (PBEsol, optimized geometry); values from VASP
! - Formation energy from the elements: -0.729 eV/atom
! - Space group: P6_3/mcm
! - Magnetization: 0.00 μB per cell
&SYSTEM
  ibrav = 0, nat = 16, ntyp = 3
/
ATOMIC_SPECIES
La 138.91 La.upf
Er 167.26 Er.upf
Ge 72.64 Ge.upf
ATOMIC_POSITIONS crystal
La 0.3333 0.6667 0.0000
La 0.3333 0.6667 0.5000
La 0.6667 0.3333 0.0000
La 0.6667 0.3333 0.5000
Er 0.0000 0.2384 0.2500
Er 0.0000 0.7616 0.7500
Er 0.2384 0.0000 0.2500
Er 0.2384 0.2384 0.7500
Er 0.7616 0.0000 0.7500
Er 0.7616 0.7616 0.2500
Ge 0.0000 0.3828 0.7500
Ge 0.0000 0.6172 0.2500
Ge 0.3828 0.0000 0.7500
Ge 0.3828 0.3828 0.2500
Ge 0.6172 0.0000 0.2500
Ge 0.6172 0.6172 0.7500
CELL_PARAMETERS angstrom
8.6038 0.0000 0.0000
-4.3019 7.4511 0.0000
0.0000 0.0000 6.4218